Entry 1:
Material: PuIr2Au
Method: DFT, PBE
State: relaxed

```
data_PuIr2Au
_space_group_name_H-M_alt 'P 1'
_space_group_IT_number 1
_cell_length_a 4.242
_cell_length_b 4.242
_cell_length_c 3.933
_cell_angle_alpha 90.00
_cell_angle_beta 90.00
_cell_angle_gamma 90.00
loop_
_space_group_symop_operation_xyz
'x,y,z'
loop_
_atom_site_label
_atom_site_type_symbol
_atom_site_fract_x
_atom_site_fract_y
_atom_site_fract_z
_atom_site_occupancy
Pu1 Pu 0.000 0.000 0.000 1
Ir1 Ir 0.000 0.500 0.500 1
Ir2 Ir 0.500 0.000 0.500 1
Au1 Au 0.500 0.500 0.000 1
```

## Properties
- ΔE_f: -0.23 eV/atom
- Symmetry: P4/mmm



Entry 2:
Material: Ho3Te2P
Method: DFT, PBE
State: relaxed

```
data_Ho3Te2P
_space_group_name_H-M_alt 'P 1'
_space_group_IT_number 1
_cell_length_a 7.330
_cell_length_b 7.330
_cell_length_c 7.206
_cell_angle_alpha 99.90
_cell_angle_beta 99.90
_cell_angle_gamma 118.65
loop_
_space_group_symop_operation_xyz
'x,y,z'
loop_
_atom_site_label
_atom_site_type_symbol
_atom_site_fract_x
_atom_site_fract_y
_atom_site_fract_z
_atom_site_occupancy
Ho1 Ho 0.000 0.500 0.000 1
Ho2 Ho 0.133 0.274 0.492 1
Ho3 Ho 0.274 0.133 0.992 1
Ho4 Ho 0.500 0.000 0.500 1
Ho5 Ho 0.726 0.867 0.008 1
Ho6 Ho 0.867 0.726 0.508 1
Te1 Te 0.262 0.738 0.750 1
Te2 Te 0.421 0.579 0.250 1
Te3 Te 0.579 0.421 0.750 1
Te4 Te 0.738 0.262 0.250 1
P1 P 0.091 0.909 0.250 1
P2 P 0.909 0.091 0.750 1
```

## Properties
- Symmetry: C2/c
- Offset from the most stable computed form: 36 meV/atom
- Formation energy from raw total energies: -1.418 eV per atom



Entry 3:
Material: SrFeCo2Ag
Method: DFT, PBE
State: relaxed

```
data_SrFeCo2Ag
_space_group_name_H-M_alt 'P 1'
_space_group_IT_number 1
_cell_length_a 4.317
_cell_length_b 4.317
_cell_length_c 4.987
_cell_angle_alpha 90.00
_cell_angle_beta 90.00
_cell_angle_gamma 90.00
loop_
_space_group_symop_operation_xyz
'x,y,z'
loop_
_atom_site_label
_atom_site_type_symbol
_atom_site_fract_x
_atom_site_fract_y
_atom_site_fract_z
_atom_site_occupancy
Sr1 Sr 0.000 0.000 0.000 1
Fe1 Fe 0.500 0.500 0.500 1
Co1 Co 0.000 0.500 0.500 1
Co2 Co 0.500 0.000 0.500 1
Ag1 Ag 0.500 0.500 0.000 1
```

## Properties
- ΔE_f: 0.71 eV/atom
- Symmetry: P4/mmm



Entry 4:
Material: LiPd3C
Method: DFT, PBE
State: relaxed

```
data_LiPd3C
_space_group_name_H-M_alt 'P 1'
_space_group_IT_number 1
_cell_length_a 4.198
_cell_length_b 4.198
_cell_length_c 4.198
_cell_angle_alpha 90.00
_cell_angle_beta 90.00
_cell_angle_gamma 90.00
loop_
_space_group_symop_operation_xyz
'x,y,z'
loop_
_atom_site_label
_atom_site_type_symbol
_atom_site_fract_x
_atom_site_fract_y
_atom_site_fract_z
_atom_site_occupancy
Li1 Li 0.000 0.000 0.000 1
Pd1 Pd 0.000 0.000 0.500 1
Pd2 Pd 0.000 0.500 0.000 1
Pd3 Pd 0.500 0.000 0.000 1
C1 C 0.500 0.500 0.500 1
```

## Properties
- ΔE_f: 1.58 eV/atom
- Symmetry: Pm-3m
- Offset from the most stable computed form: 1608 meV/atom



Entry 5:
Material: Mn3B4W
Method: DFT, PBE
State: relaxed

```
data_Mn3B4W
_space_group_name_H-M_alt 'P 1'
_space_group_IT_number 1
_cell_length_a 4.268
_cell_length_b 3.007
_cell_length_c 5.624
_cell_angle_alpha 90.00
_cell_angle_beta 90.66
_cell_angle_gamma 90.00
loop_
_space_group_symop_operation_xyz
'x,y,z'
loop_
_atom_site_label
_atom_site_type_symbol
_atom_site_fract_x
_atom_site_fract_y
_atom_site_fract_z
_atom_site_occupancy
Mn1 Mn 0.000 0.000 0.000 1
Mn2 Mn 0.243 0.500 0.654 1
Mn3 Mn 0.744 0.000 0.506 1
B1 B 0.000 0.500 0.301 1
B2 B 0.216 0.000 0.373 1
B3 B 0.518 0.000 0.847 1
B4 B 0.739 0.500 0.785 1
W1 W 0.495 0.500 0.152 1
```

## Properties
- ΔE_f: -0.43 eV/atom
- Symmetry: Pm



Entry 6:
Material: ZnCd3Pb
Method: DFT, PBE
State: relaxed

```
data_ZnCd3Pb
_space_group_name_H-M_alt 'P 1'
_space_group_IT_number 1
_cell_length_a 5.123
_cell_length_b 5.123
_cell_length_c 5.123
_cell_angle_alpha 90.00
_cell_angle_beta 90.00
_cell_angle_gamma 90.00
loop_
_space_group_symop_operation_xyz
'x,y,z'
loop_
_atom_site_label
_atom_site_type_symbol
_atom_site_fract_x
_atom_site_fract_y
_atom_site_fract_z
_atom_site_occupancy
Zn1 Zn 0.000 0.000 0.000 1
Cd1 Cd 0.000 0.000 0.500 1
Cd2 Cd 0.000 0.500 0.000 1
Cd3 Cd 0.500 0.000 0.000 1
Pb1 Pb 0.500 0.500 0.500 1
```

## Properties
- ΔE_f: 0.26 eV/atom
- Symmetry: Pm-3m
- Offset from the most stable computed form: 199 meV/atom



Entry 7:
Material: Li2TlGe2
Method: DFT, PBE
State: relaxed

```
data_Li2TlGe2
_space_group_name_H-M_alt 'P 1'
_space_group_IT_number 1
_cell_length_a 7.988
_cell_length_b 7.988
_cell_length_c 3.033
_cell_angle_alpha 90.00
_cell_angle_beta 90.00
_cell_angle_gamma 90.00
loop_
_space_group_symop_operation_xyz
'x,y,z'
loop_
_atom_site_label
_atom_site_type_symbol
_atom_site_fract_x
_atom_site_fract_y
_atom_site_fract_z
_atom_site_occupancy
Li1 Li 0.185 0.315 0.000 1
Li2 Li 0.315 0.815 0.000 1
Li3 Li 0.685 0.185 0.000 1
Li4 Li 0.815 0.685 0.000 1
Tl1 Tl 0.000 0.000 0.500 1
Tl2 Tl 0.500 0.500 0.500 1
Ge1 Ge 0.114 0.614 0.500 1
Ge2 Ge 0.386 0.114 0.500 1
Ge3 Ge 0.614 0.886 0.500 1
Ge4 Ge 0.886 0.386 0.500 1
```

## Properties
- ΔE_f: -0.14 eV/atom
- Symmetry: P4/mbm
- Offset from the most stable computed form: 0 meV/atom



Entry 8:
Material: Ba2SnPb
Method: DFT, PBE
State: relaxed

```
data_Ba2SnPb
_space_group_name_H-M_alt 'P 1'
_space_group_IT_number 1
_cell_length_a 6.058
_cell_length_b 6.058
_cell_length_c 6.058
_cell_angle_alpha 60.00
_cell_angle_beta 60.00
_cell_angle_gamma 60.00
loop_
_space_group_symop_operation_xyz
'x,y,z'
loop_
_atom_site_label
_atom_site_type_symbol
_atom_site_fract_x
_atom_site_fract_y
_atom_site_fract_z
_atom_site_occupancy
Ba1 Ba 0.250 0.250 0.250 1
Ba2 Ba 0.750 0.750 0.750 1
Sn1 Sn 0.000 0.000 0.000 1
Pb1 Pb 0.500 0.500 0.500 1
```

## Properties
- ΔE_f: -0.50 eV/atom
- Symmetry: Fm-3m
- Offset from the most stable computed form: 142 meV/atom